First-principles (PBE-GGA) data for TlGaCo2 after structural relaxation, as listed in Alexandria via LeMat-Bulk.

abc: 4.321 4.321 4.321
angles: 60.00 60.00 60.00
Site moments in Bohr magnetons follow the coordinates.
Sites, in units of the cell vectors:
Tl1 0.500 0.500 0.500  -0.02
Co1 0.250 0.250 0.250  0.26
Co2 0.750 0.750 0.750  0.26
Ga1 0.000 0.000 0.000  -0.02

Computed properties:
- energy of formation (eV/atom) = 0.284
- space-group type = Fm-3m
- energy relative to the lowest polymorph listed for this composition (meV/atom) = 0
- magnetization (μB/cell) = 0.4
- DOS at the Fermi energy (states/eV/cell) = 2.68